! TlZnNiF6 | Alexandria via LeMat-Bulk | PBE with a Hubbard U | optimized geometry; values from VASP
&SYSTEM
  ibrav = 0, nat = 18, ntyp = 4
/
ATOMIC_SPECIES
F 19.00 F.upf
Zn 65.41 Zn.upf
Ni 58.69 Ni.upf
Tl 204.38 Tl.upf
CELL_PARAMETERS angstrom
-1.8432 -2.8449 4.3847
-1.4951 -1.5183 -5.1163
7.2427 -5.4582 -0.4968
ATOMIC_POSITIONS angstrom
F 1.3586 -4.1748 2.6882
F 0.0016 -5.7838 0.5820
Zn 0.0835 -3.7672 1.0935
F 2.5458 -5.6465 -3.9165
Ni 3.6213 -2.7291 -0.2484
Zn 3.8209 -6.0541 -2.3219
F 5.3385 -6.1243 -0.8982
F 1.7000 -3.4605 -0.1823
F 0.1817 -1.6886 1.1604
F -1.3068 -3.7987 2.6430
F 5.2112 -6.0227 -3.8714
Tl 3.7049 -6.4963 0.8451
F 2.2044 -6.3608 -1.0460
F 3.9028 -4.0375 -1.8103
F 3.7227 -8.1328 -2.3888
F -1.4341 -3.6970 -0.3301
Tl 0.1995 -3.3250 -2.0735
Ni 0.0000 0.0000 0.0000
! E, eV per cell: -70.57
! M_tot, μB/cell: 3.12
! Symmetry: P-31c (163)